# 1
Compound: CoReMo2
Source: the Alexandria database
Functional: PBE-GGA
Structure: optimized geometry

The calculated density comes out at 12.55 g/cm³. The formation energy comes out at 0.167 eV/atom. Its final energy is -10.137 eV/atom.

The space group is P4mm (No. 99) and the conventional cell measures 3.1710, 3.1710 and 5.7497 Å, with angles of 90.00, 90.00 and 90.00 degrees. Symmetry generates all atoms from Co at (0.0000, 0.0000, 0.0000), Re at (0.5000, 0.5000, 0.7432), Mo at (0.0000, 0.0000, 0.4921) and Mo at (0.5000, 0.5000, 0.2040).

---

# 2
Compound: CoReMo2
Source: the Alexandria database
Functional: PBE-GGA
Structure: optimized geometry

The calculated density comes out at 12.66 g/cm³. The formation energy comes out at 0.108 eV/atom. Its final energy is -10.196 eV/atom.

The space group is P4/mmm (No. 123) and the conventional cell measures 3.8602, 3.8602 and 3.8466 Å, with angles of 90.00, 90.00 and 90.00 degrees. Symmetry generates all atoms from Co at (0.0000, 0.0000, 0.0000), Re at (0.5000, 0.5000, 0.0000) and Mo at (0.0000, 0.5000, 0.5000).

---

# 3
Compound: CoReMo2
Source: the Alexandria database
Functional: PBE-GGA
Structure: optimized geometry

The calculated density comes out at 12.62 g/cm³. The formation energy comes out at 0.159 eV/atom. Its final energy is -10.145 eV/atom.

The space group is I-4m2 (No. 119) and the conventional cell measures 3.8342, 3.8342 and 7.8223 Å, with angles of 90.00, 90.00 and 90.00 degrees. Symmetry generates all atoms from Co at (0.0000, 0.0000, 0.0000), Re at (0.0000, 0.5000, 0.2500), Mo at (0.0000, 0.0000, 0.5000) and Mo at (0.0000, 0.5000, 0.7500).